Material: RbSr2As
Method: DFT, GGA-PBE
State: optimized geometry

a = 5.972 Å, b = 5.972 Å, c = 5.972 Å
α = 60.00°, β = 60.00°, γ = 60.00°
Sites, in units of the cell vectors:
Sr  0.250  0.250  0.250
Sr  0.750  0.750  0.750
As  0.000  0.000  0.000
Rb  0.500  0.500  0.500

Properties
**Energy above the lowest structure with this stoichiometry**: 531.1 meV/atom
**DFT formation energy**: -0.072 eV/atom
**Space group**: No. 225
**N(E_F)**: 1.468 states/eV/atom
**Total DFT energy (no corrections)**: -0.1703 Ry/atom

---

Material: RbSr2As2
Method: DFT, GGA-PBE
State: optimized geometry

a = 5.409 Å, b = 5.409 Å, c = 7.361 Å
α = 68.45°, β = 68.45°, γ = 90.00°
Sites, in units of the cell vectors:
Sr  0.250  0.750  0.500
Sr  0.750  0.250  0.500
As  0.621  0.621  0.759
As  0.379  0.379  0.241
Rb  0.000  0.000  0.000

Properties
**Energy above the lowest structure with this stoichiometry**: 147.3 meV/atom
**DFT formation energy**: -0.638 eV/atom
**Space group**: No. 139
**N(E_F)**: 0.789 states/eV/atom
**Total DFT energy (no corrections)**: -0.2473 Ry/atom

---

Material: Rb2SrAs
Method: DFT, GGA-PBE
State: optimized geometry

a = 12.887 Å, b = 12.887 Å, c = 9.594 Å
α = 47.81°, β = 47.81°, γ = 90.00°
Sites, in units of the cell vectors:
As  0.500  0.500  0.000
As  0.250  0.750  0.500
Sr  0.750  0.250  0.500
Sr  0.000  0.000  0.000
Rb  0.472  0.125  0.250
Rb  0.375  0.528  0.750
Rb  0.875  0.722  0.750
Rb  0.278  0.625  0.250

Properties
**Energy above the lowest structure with this stoichiometry**: 0.0 meV/atom
**DFT formation energy**: -0.265 eV/atom
**Space group**: No. 122
**N(E_F)**: 0.609 states/eV/atom
**Total DFT energy (no corrections)**: -0.1713 Ry/atom

---

Material: RbSr2As
Method: DFT, GGA-PBE
State: optimized geometry

a = 4.587 Å, b = 4.587 Å, c = 12.541 Å
α = 79.46°, β = 79.46°, γ = 60.00°
Sites, in units of the cell vectors:
Sr  0.877  0.877  0.370
Sr  0.123  0.123  0.630
As  0.500  0.500  0.500
Rb  0.000  0.000  0.000

Properties
**Energy above the lowest structure with this stoichiometry**: 0.0 meV/atom
**DFT formation energy**: -0.603 eV/atom
**Space group**: No. 166
**N(E_F)**: 0.729 states/eV/atom
**Total DFT energy (no corrections)**: -0.2093 Ry/atom

---

Material: RbSr2As2
Method: DFT, GGA-PBE
State: optimized geometry

a = 9.191 Å, b = 9.191 Å, c = 3.669 Å
α = 90.00°, β = 90.00°, γ = 90.00°
Sites, in units of the cell vectors:
As  0.665  0.835  0.500
As  0.165  0.665  0.500
As  0.335  0.165  0.500
As  0.835  0.335  0.500
Rb  0.500  0.500  0.000
Rb  0.000  0.000  0.000
Sr  0.133  0.367  0.000
Sr  0.867  0.633  0.000
Sr  0.633  0.133  0.000
Sr  0.367  0.867  0.000

Properties
**Energy above the lowest structure with this stoichiometry**: 0.0 meV/atom
**DFT formation energy**: -0.785 eV/atom
**Space group**: No. 127
**N(E_F)**: 0.168 states/eV/atom
**Total DFT energy (no corrections)**: -0.2581 Ry/atom

---

Material: Rb2SrAs2
Method: DFT, GGA-PBE
State: optimized geometry

a = 7.974 Å, b = 7.974 Å, c = 5.753 Å
α = 90.00°, β = 90.00°, γ = 90.00°
Sites, in units of the cell vectors:
As  0.113  0.387  0.000
As  0.613  0.113  0.000
As  0.887  0.613  0.000
As  0.387  0.887  0.000
Rb  0.163  0.663  0.500
Rb  0.837  0.337  0.500
Rb  0.663  0.837  0.500
Rb  0.337  0.163  0.500
Sr  0.000  0.000  0.000
Sr  0.500  0.500  0.000

Properties
**Energy above the lowest structure with this stoichiometry**: 0.0 meV/atom
**DFT formation energy**: -0.461 eV/atom
**Space group**: No. 127
**N(E_F)**: 0.321 states/eV/atom
**Total DFT energy (no corrections)**: -0.2238 Ry/atom

---

Q: Look up the energy above the lowest structure with this stoichiometry of the second one.
A: 147.3 meV/atom

---

Q: Among the records above, which one has the highest total DFT energy (no corrections)?
A: number 1

---

Q: Look up the energy above the lowest structure with this stoichiometry of the first one.
A: 531.1 meV/atom